# 1
Material: SrSiBr2
Method: DFT, PBE
State: optimized geometry

Lattice parameters (Å, degrees): 9.8925 9.8925 9.8925 24.28 24.28 24.28
Positions (direct):
Sr1 0.5000 0.5000 0.5000
Si1 0.0000 0.0000 0.0000
Br1 0.8979 0.8979 0.8979
Br2 0.1021 0.1021 0.1021

Results
Total magnetic moment: 0.00 μB/cell
E_tot: -3.22 eV/atom
Energy above the lowest structure with this stoichiometry: 0.699 eV/f.u.
Formation energy (no corrections): -0.606 eV/atom



# 2
Material: SrSiBr2
Method: DFT, PBE
State: optimized geometry

Lattice parameters (Å, degrees): 5.4191 5.4191 5.8665 84.30 84.30 44.15
Positions (direct):
Br1 0.9535 0.9535 0.0109
Br2 0.5465 0.5465 0.4891
Si1 0.7500 0.7500 0.7500
Sr1 0.2500 0.2500 0.2500

Results
Total magnetic moment: 0.00 μB/cell
E_tot: -3.33 eV/atom
Energy above the lowest structure with this stoichiometry: 0.273 eV/f.u.
Formation energy (no corrections): -0.713 eV/atom



# 3
Material: SrSi3Br
Method: DFT, PBE
State: optimized geometry

Lattice parameters (Å, degrees): 5.8312 5.8312 5.8312 90.00 90.00 90.00
Positions (direct):
Sr1 0.0000 0.0000 0.0000
Si1 0.0000 0.5000 0.0000
Si2 0.0000 0.0000 0.5000
Si3 0.5000 0.0000 0.0000
Br1 0.5000 0.5000 0.5000

Results
Total magnetic moment: 3.49 μB/cell
E_tot: -2.32 eV/atom
Energy above the lowest structure with this stoichiometry: 4.211 eV/f.u.
Formation energy (no corrections): 1.606 eV/atom



# 4
Material: SrSiBr2
Method: DFT, PBE
State: optimized geometry

Lattice parameters (Å, degrees): 8.2896 8.2896 3.9348 76.32 76.32 30.11
Positions (direct):
Br1 0.9678 0.9678 0.0325
Br2 0.7352 0.7352 0.7645
Si1 0.4851 0.4851 0.5151
Sr1 0.3119 0.3119 0.1879

Results
Total magnetic moment: 0.50 μB/cell
E_tot: -3.29 eV/atom
Energy above the lowest structure with this stoichiometry: 0.400 eV/f.u.
Formation energy (no corrections): -0.681 eV/atom